1.
Below is an optimized crystal structure of RbMgP2O, with properties calculated at the PBE-GGA level.

Summary:
total moment: 1.39 μB/f.u.
formation energy without anion corrections: 1.360 eV per atom
total DFT energy (no corrections): -11.540 eV/f.u.
Fermi-level density of states: 2.6 states/eV/cell
ΔE to the lowest computed polymorph: 2.338 eV/atom

Unit cell a=5.448 b=5.448 c=4.307 alpha=90.00 beta=90.00 gamma=90.00
Last column: magnetic moment on the atom in μB.
Atoms (fractional coordinates):
P (0.000, 0.500, 0.000)  0.27
P (0.500, 0.000, 0.000)  0.27
Mg (0.500, 0.500, 0.500)  -0.02
O (0.000, 0.000, 0.500)  0.22
Rb (0.000, 0.000, 0.000)  -0.01


2.
Below is an optimized crystal structure of RbMgP2O, with properties calculated at the PBE-GGA level.

Summary:
total moment: 0.00 μB/f.u.
formation energy without anion corrections: -0.759 eV per atom
total DFT energy (no corrections): -22.133 eV/f.u.
Fermi-level density of states: 4.1 states/eV/cell
ΔE to the lowest computed polymorph: 0.219 eV/atom

Unit cell a=5.159 b=3.467 c=12.150 alpha=90.00 beta=109.87 gamma=90.00
Atoms (fractional coordinates):
Rb (0.359, 0.000, 0.974)
Rb (0.359, 0.500, 0.474)
Mg (0.744, 0.000, 0.294)
Mg (0.744, 0.500, 0.794)
P (0.922, 0.000, 0.608)
P (0.922, 0.500, 0.108)
P (0.186, 0.000, 0.219)
P (0.186, 0.500, 0.719)
O (0.904, 0.000, 0.471)
O (0.904, 0.500, 0.971)


3.
Below is an optimized crystal structure of RbMgPO2, with properties calculated at the PBE-GGA level.

Summary:
total moment: 0.70 μB/f.u.
formation energy without anion corrections: 0.905 eV per atom
total DFT energy (no corrections): -13.361 eV/f.u.
Fermi-level density of states: 3.8 states/eV/cell
ΔE to the lowest computed polymorph: 1.194 eV/atom

Unit cell a=4.290 b=4.290 c=5.820 alpha=90.00 beta=90.00 gamma=90.00
Last column: magnetic moment on the atom in μB.
Atoms (fractional coordinates):
P (0.000, 0.000, 0.500)  0.12
Mg (0.500, 0.500, 0.500)  0.00
O (0.000, 0.500, 0.000)  0.19
O (0.500, 0.000, 0.000)  0.19
Rb (0.000, 0.000, 0.000)  -0.01


4.
Below is an optimized crystal structure of RbMgP2O, with properties calculated at the PBE-GGA level.

Summary:
total moment: 0.00 μB/f.u.
formation energy without anion corrections: -0.878 eV per atom
total DFT energy (no corrections): -22.731 eV/f.u.
Fermi-level density of states: 1.5 states/eV/cell
ΔE to the lowest computed polymorph: 0.099 eV/atom

Unit cell a=4.565 b=3.482 c=6.899 alpha=90.00 beta=94.92 gamma=90.00
Atoms (fractional coordinates):
Rb (0.485, 0.500, 0.410)
Mg (0.613, 0.500, 0.900)
P (0.029, 0.000, 0.800)
P (0.959, 0.000, 0.102)
O (0.388, 0.000, 0.771)